*1*
First-principles (GGA-PBE) data for an optimized crystal structure of FeHPd2, as listed in the Alexandria database.

Properties
* SG: P4/mmm (123)
* N(E_F): 2.07 states/eV/cell
* V: 47 Å³/cell

Cell lengths 2.7128, 2.7128, 6.3566 Å; angles 90.00, 90.00, 90.00 degrees
Closest atoms and distances in Å follow each position.
Element x y z (fractional)
Fe 0.5000 0.5000 0.5000  8 Pd 2.66, 4 Fe 2.71
H 0.5000 0.5000 0.0000  8 Pd 2.34
Pd 0.0000 0.0000 0.7892  4 H 2.34
Pd 0.0000 0.0000 0.2108  4 H 2.34

*2*
First-principles (GGA-PBE) data for an optimized crystal structure of FeHPd2, as listed in the Alexandria database.

Properties
* SG: Immm (71)
* N(E_F): 1.75 states/eV/cell
* V: 46 Å³/cell

Cell lengths 2.7842, 3.9234, 4.8235 Å; angles 114.07, 106.85, 89.92 degrees
Closest atoms and distances in Å follow each position.
Element x y z (fractional)
H 0.5000 0.0090 0.0000  4 Pd 1.96, 2 Fe 1.96
Fe 0.5000 0.5091 0.0000  2 H 1.96
Pd 0.8347 0.8439 0.6695  2 H 1.96
Pd 0.1653 0.1741 0.3304  2 H 1.96

Which structure loses on stability? *1* does.

*1*
First-principles (GGA-PBE) data for an optimized crystal structure of FeH2Pd3, as listed in the Alexandria database.

Properties
* SG: C2/m (12)
* N(E_F): 6.32 states/eV/cell
* V: 127 Å³/cell

Cell lengths 2.8220, 5.3943, 8.7858 Å; angles 92.66, 80.76, 74.84 degrees
Closest atoms and distances in Å follow each position.
Element x y z (fractional)
H 0.1289 0.6032 0.1391  2 Pd 1.85-1.93, 2 Fe 1.97
H 0.3700 0.8943 0.3657  5 Pd 1.91-2.13, 1 Fe 2.09
H 0.6300 0.1057 0.6343  5 Pd 1.91-2.13, 1 Fe 2.09
H 0.8711 0.3968 0.8609  2 Pd 1.85-1.93, 2 Fe 1.97
Pd 0.9076 0.9593 0.2255  3 H 1.91-1.93
Pd 0.8591 0.7583 0.5236  3 H 1.97-2.13
Pd 0.1409 0.2417 0.4764  3 H 1.97-2.13
Pd 0.3437 0.2765 0.0361  1 H 1.85
Pd 0.0924 0.0407 0.7745  3 H 1.91-1.93
Pd 0.6563 0.7235 0.9639  1 H 1.85
Fe 0.6073 0.5054 0.2801  3 H 1.97-2.09
Fe 0.3927 0.4946 0.7199  3 H 1.97-2.09

*2*
First-principles (GGA-PBE) data for an optimized crystal structure of FeH2Pd3, as listed in the Alexandria database.

Properties
* SG: C2/m (12)
* N(E_F): 6.20 states/eV/cell
* V: 129 Å³/cell

Cell lengths 2.8483, 6.2763, 7.5268 Å; angles 85.58, 79.09, 76.88 degrees
Closest atoms and distances in Å follow each position.
Element x y z (fractional)
Pd 0.8124 0.8123 0.5629  2 H 1.75
Pd 0.6932 0.6852 0.9284  3 H 2.00-2.05
Pd 0.9409 0.9302 0.1880  1 H 1.84
Pd 0.0591 0.0698 0.8120  1 H 1.84
Pd 0.3068 0.3148 0.0716  3 H 2.00-2.05
Pd 0.1876 0.1877 0.4371  2 H 1.75
Fe 0.4372 0.4287 0.6969  2 H 1.78-1.79
Fe 0.5628 0.5713 0.3031  2 H 1.78-1.79
H 0.5919 0.3496 0.4666  2 Pd 1.75, 2 Fe 1.78-1.79, 1 H 1.92
H 0.1194 0.6444 0.1168  4 Pd 1.84-2.05, 2 Fe 2.02
H 0.8806 0.3556 0.8832  4 Pd 1.84-2.05, 2 Fe 2.02
H 0.4081 0.6504 0.5334  2 Pd 1.75, 2 Fe 1.78-1.79, 1 H 1.92

Which structure loses on stability? *2* does.

*1*
First-principles (GGA-PBE) data for an optimized crystal structure of Fe2H2Pd, as listed in the Alexandria database.

Properties
* SG: P4/mbm (127)
* N(E_F): 3.06 states/eV/cell
* V: 91 Å³/cell

Cell lengths 5.8642, 5.8642, 2.6389 Å; angles 90.00, 90.00, 90.00 degrees
Closest atoms and distances in Å follow each position.
Element x y z (fractional)
Pd 0.5000 0.5000 0.0000  4 H 2.33
Pd 0.0000 0.0000 0.0000  4 H 2.33
H 0.8784 0.6216 0.0000  1 H 2.02, 4 Fe 2.02
H 0.3784 0.8784 0.0000  1 H 2.02, 4 Fe 2.02
H 0.1216 0.3784 0.0000  1 H 2.02, 4 Fe 2.02
H 0.6216 0.1216 0.0000  1 H 2.02, 4 Fe 2.02
Fe 0.8614 0.3614 0.5000  4 H 2.02
Fe 0.3614 0.1386 0.5000  4 H 2.02
Fe 0.6386 0.8614 0.5000  4 H 2.02
Fe 0.1386 0.6386 0.5000  4 H 2.02

*2*
First-principles (GGA-PBE) data for an optimized crystal structure of Fe2H2Pd, as listed in the Alexandria database.

Properties
* SG: I4/mmm (139)
* N(E_F): 3.72 states/eV/cell
* V: 41 Å³/cell

Cell lengths 3.2180, 3.2180, 4.5765 Å; angles 69.42, 69.42, 90.00 degrees
Closest atoms and distances in Å follow each position.
Element x y z (fractional)
H 0.2500 0.7500 0.5000  4 Fe 1.73
H 0.7500 0.2500 0.5000  4 Fe 1.73
Pd 0.0000 0.0000 0.0000  8 H 2.56, 10 Fe 2.61-2.65
Fe 0.3286 0.3286 0.3429  4 H 1.73
Fe 0.6714 0.6714 0.6571  4 H 1.73

Which structure loses on stability? *1* does.

*1*
First-principles (GGA-PBE) data for an optimized crystal structure of Fe3HPd, as listed in the Alexandria database.

Properties
* SG: Pm-3m (221)
* N(E_F): 3.92 states/eV/cell
* V: 53 Å³/cell

Cell lengths 3.7504, 3.7504, 3.7504 Å; angles 90.00, 90.00, 90.00 degrees
Closest atoms and distances in Å follow each position.
Element x y z (fractional)
Fe 0.5000 0.0000 0.0000  2 H 1.88
Fe 0.0000 0.5000 0.0000  2 H 1.88
Fe 0.0000 0.0000 0.5000  2 H 1.88
Pd 0.5000 0.5000 0.5000  12 Fe 2.65
H 0.0000 0.0000 0.0000  6 Fe 1.88

*2*
First-principles (GGA-PBE) data for an optimized crystal structure of Fe3HPd, as listed in the Alexandria database.

Properties
* SG: Pm-3m (221)
* N(E_F): 5.88 states/eV/cell
* V: 104 Å³/cell

Cell lengths 4.6991, 4.6991, 4.6991 Å; angles 90.00, 90.00, 90.00 degrees
Closest atoms and distances in Å follow each position.
Element x y z (fractional)
Fe 0.0000 0.0000 0.5000  2 Pd 2.35
Fe 0.0000 0.5000 0.0000  2 Pd 2.35
Fe 0.5000 0.0000 0.0000  2 Pd 2.35
Pd 0.0000 0.0000 0.0000  6 Fe 2.35
H 0.5000 0.5000 0.5000  12 Fe 3.32

Which structure loses on stability? *2* does.

*1*
First-principles (GGA-PBE) data for an optimized crystal structure of Fe2HPdPt, as listed in the Alexandria database.

Properties
* SG: P4/mmm (123)
* N(E_F): 2.90 states/eV/cell
* V: 58 Å³/cell

Cell lengths 3.8926, 3.8926, 3.8300 Å; angles 90.00, 90.00, 90.00 degrees
Closest atoms and distances in Å follow each position.
Element x y z (fractional)
Fe 0.5000 0.0000 0.0000  2 H 1.95
Fe 0.0000 0.5000 0.0000  2 H 1.95
Pt 0.0000 0.0000 0.5000  2 H 1.92
Pd 0.5000 0.5000 0.5000  8 Fe 2.73, 4 Pt 2.75
H 0.0000 0.0000 0.0000  2 Pt 1.92, 4 Fe 1.95

*2*
First-principles (GGA-PBE) data for an optimized crystal structure of Fe2HPdPt, as listed in the Alexandria database.

Properties
* SG: P4/mmm (123)
* N(E_F): 10.32 states/eV/cell
* V: 54 Å³/cell

Cell lengths 3.7774, 3.7774, 3.7914 Å; angles 90.00, 90.00, 90.00 degrees
Closest atoms and distances in Å follow each position.
Element x y z (fractional)
Fe 0.5000 0.0000 0.0000  2 H 1.89
Fe 0.0000 0.5000 0.0000  2 H 1.89
H 0.0000 0.0000 0.0000  4 Fe 1.89, 2 Pd 1.90
Pd 0.0000 0.0000 0.5000  2 H 1.90
Pt 0.5000 0.5000 0.5000  4 Pd 2.67, 8 Fe 2.68

Which structure loses on stability? *2* does.

*1*
First-principles (GGA-PBE) data for an optimized crystal structure of Fe2HPdRh, as listed in the Alexandria database.

Properties
* SG: P4/mmm (123)
* N(E_F): 3.49 states/eV/cell
* V: 57 Å³/cell

Cell lengths 3.9043, 3.9043, 3.7202 Å; angles 90.00, 90.00, 90.00 degrees
Closest atoms and distances in Å follow each position.
Element x y z (fractional)
Rh 0.0000 0.0000 0.5000  2 H 1.86
Fe 0.5000 0.0000 0.0000  2 H 1.95
Fe 0.0000 0.5000 0.0000  2 H 1.95
Pd 0.5000 0.5000 0.5000  8 Fe 2.70, 4 Rh 2.76
H 0.0000 0.0000 0.0000  2 Rh 1.86, 4 Fe 1.95

*2*
First-principles (GGA-PBE) data for an optimized crystal structure of Fe2HPdRh, as listed in the Alexandria database.

Properties
* SG: P4/mmm (123)
* N(E_F): 3.68 states/eV/cell
* V: 57 Å³/cell

Cell lengths 3.8843, 3.8843, 3.7478 Å; angles 90.00, 90.00, 90.00 degrees
Closest atoms and distances in Å follow each position.
Element x y z (fractional)
Fe 0.5000 0.0000 0.0000  2 H 1.94
Fe 0.0000 0.5000 0.0000  2 H 1.94
H 0.0000 0.0000 0.0000  2 Pd 1.87, 4 Fe 1.94
Rh 0.5000 0.5000 0.5000  8 Fe 2.70, 4 Pd 2.75
Pd 0.0000 0.0000 0.5000  2 H 1.87

Which structure loses on stability? *2* does.